CdGaHg4 | PBE-GGA | optimized geometry

Relative energy among the computed polymorphs = 0.012 eV/atom
Calculated formation energy = 0.058 eV/atom
Space group = Pmn2_1
M_tot = 0.0 μB per formula unit

a b c (Å): 6.675 5.962 7.888
angles (deg): 90.00 90.00 90.00
Element x y z (fractional)
Hg 0.381 0.630 0.500
Hg 0.926 0.432 0.500
Hg 0.881 0.370 0.000
Hg 0.229 0.197 0.756
Hg 0.729 0.803 0.744
Hg 0.426 0.568 0.000
Hg 0.729 0.803 0.256
Hg 0.229 0.197 0.244
Ga 0.042 0.919 0.500
Ga 0.542 0.081 0.000
Cd 0.566 0.157 0.500
Cd 0.066 0.843 0.000